Record 1
DFT (PBE) results for a relaxed structure of SrZn2Rh.

```
data_SrZn2Rh
_chemical_formula_sum 'Sr2 Zn4 Rh2'
_cell_length_a 5.7336
_cell_length_b 8.1224
_cell_length_c 3.3311
_cell_angle_alpha 90.00
_cell_angle_beta 90.00
_cell_angle_gamma 90.00
_space_group_name_H-M_alt 'C m m m'
_space_group_IT_number 65
_space_group_name_Hall '-C 2 2'
loop_
_atom_site_label
_atom_site_type_symbol
_atom_site_fract_x
_atom_site_fract_y
_atom_site_fract_z
Sr1 Sr 0.0000 0.0000 0.0000
Zn1 Zn 0.2500 0.2500 0.5000
Rh1 Rh 0.0000 0.5000 0.0000
```

Values from the calculation:
* energy of formation: 115.1 meV per atom
* theoretical density: 6.88 g/cm³
* DFT total energy: -22.24 eV/cell
* Fermi-level density of states: 0.52 states/eV per atom
* total moment: 0.000 μB per atom

=====

Record 2
DFT (PBE) results for a relaxed structure of SrZnRh4.

```
data_SrZnRh4
_chemical_formula_sum 'Sr4 Zn4 Rh16'
_cell_length_a 7.5069
_cell_length_b 7.5069
_cell_length_c 7.5069
_cell_angle_alpha 90.00
_cell_angle_beta 90.00
_cell_angle_gamma 90.00
_space_group_name_H-M_alt 'F -4 3 m'
_space_group_IT_number 216
_space_group_name_Hall 'F -4 2 3'
loop_
_atom_site_label
_atom_site_type_symbol
_atom_site_fract_x
_atom_site_fract_y
_atom_site_fract_z
Sr1 Sr 0.0000 0.0000 0.0000
Zn1 Zn 0.2500 0.2500 0.7500
Rh1 Rh 0.1242 0.1242 0.3758
```

Values from the calculation:
* energy of formation: -36.7 meV per atom
* theoretical density: 8.87 g/cm³
* DFT total energy: -130.33 eV/cell
* Fermi-level density of states: 1.55 states/eV per atom
* total moment: 0.017 μB per atom

=====

Record 3
DFT (PBE) results for a relaxed structure of Sr2Zn9Rh6.

```
data_Sr2Zn9Rh6
_chemical_formula_sum 'Sr2 Zn9 Rh6'
_cell_length_a 5.6417
_cell_length_b 5.6417
_cell_length_c 11.7708
_cell_angle_alpha 90.00
_cell_angle_beta 90.00
_cell_angle_gamma 120.00
_space_group_name_H-M_alt 'P 6/m m m'
_space_group_IT_number 191
_space_group_name_Hall '-P 6 2'
loop_
_atom_site_label
_atom_site_type_symbol
_atom_site_fract_x
_atom_site_fract_y
_atom_site_fract_z
Sr1 Sr 0.0000 0.0000 0.1800
Zn1 Zn 0.0000 0.5000 0.0000
Zn2 Zn 0.0000 0.5000 0.3369
Rh1 Rh 0.3333 0.6667 0.1685
Rh2 Rh 0.3333 0.6667 0.5000
```

Values from the calculation:
* energy of formation: -280.2 meV per atom
* theoretical density: 7.07 g/cm³
* DFT total energy: -63.70 eV/cell
* Fermi-level density of states: 0.74 states/eV per atom
* total moment: 0.000 μB per atom

=====

Record 4
DFT (PBE) results for a relaxed structure of SrZn2Rh.

```
data_SrZn2Rh
_chemical_formula_sum 'Sr3 Zn6 Rh3'
_cell_length_a 4.3861
_cell_length_b 4.3861
_cell_length_c 16.2489
_cell_angle_alpha 90.00
_cell_angle_beta 90.00
_cell_angle_gamma 120.00
_space_group_name_H-M_alt 'R 3 m'
_space_group_IT_number 160
_space_group_name_Hall 'R 3 -2"'
loop_
_atom_site_label
_atom_site_type_symbol
_atom_site_fract_x
_atom_site_fract_y
_atom_site_fract_z
Sr1 Sr 0.0000 0.0000 0.0000
Zn1 Zn 0.0000 0.0000 0.1918
Zn2 Zn 0.0000 0.0000 0.4798
Rh1 Rh 0.0000 0.0000 0.8089
```

Values from the calculation:
* energy of formation: -369.4 meV per atom
* theoretical density: 5.91 g/cm³
* DFT total energy: -39.18 eV/cell
* Fermi-level density of states: 0.43 states/eV per atom
* total moment: 0.000 μB per atom